A geometry-optimized CsBa2CoCl8 structure. Source: the Alexandria database, functional PBE. Values from VASP.

Values from the calculation:
* space group: P-1 (2)
* uncorrected formation energy: -1.744 eV per atom

Quantum ESPRESSO input file:
```
&SYSTEM
  ibrav = 0, nat = 12, ntyp = 4
/
ATOMIC_SPECIES
Cl 35.45 Cl.upf
Ba 137.33 Ba.upf
Co 58.93 Co.upf
Cs 132.91 Cs.upf
CELL_PARAMETERS angstrom
6.299 -0.937 0.707
-1.202 6.474 -0.883
0.948 -1.057 9.144
ATOMIC_POSITIONS crystal
Cl 0.926 0.229 0.887
Ba 0.610 0.389 0.210
Ba 0.390 0.611 0.790
Cl 0.406 0.699 0.476
Cl 0.366 0.121 0.899
Cl 0.074 0.771 0.113
Co 0.000 0.000 0.000
Cs 0.000 0.000 0.500
Cl 0.594 0.301 0.524
Cl 0.928 0.726 0.794
Cl 0.072 0.274 0.206
Cl 0.634 0.879 0.101
```

A geometry-optimized CsBaCoCl6 structure. Source: the Alexandria database, functional PBE. Values from VASP.

Values from the calculation:
* space group: P312 (149)
* uncorrected formation energy: -1.480 eV per atom

Quantum ESPRESSO input file:
```
&SYSTEM
  ibrav = 0, nat = 9, ntyp = 4
/
ATOMIC_SPECIES
Cl 35.45 Cl.upf
Cs 132.91 Cs.upf
Ba 137.33 Ba.upf
Co 58.93 Co.upf
CELL_PARAMETERS angstrom
-4.281 5.423 2.189
-7.125 -1.085 0.759
1.031 -1.959 6.871
ATOMIC_POSITIONS crystal
Cl 0.332 0.080 0.688
Cs 0.000 0.000 0.000
Cl 0.332 0.589 0.312
Ba 0.667 0.667 0.500
Cl 0.080 0.589 0.688
Cl 0.080 0.332 0.312
Cl 0.589 0.332 0.688
Cl 0.589 0.080 0.312
Co 0.333 0.333 0.500
```

A geometry-optimized BaCo2CuCl8 structure. Source: the Alexandria database, functional PBE. Values from VASP.

Values from the calculation:
* space group: P-3 (147)
* uncorrected formation energy: -1.004 eV per atom

Quantum ESPRESSO input file:
```
&SYSTEM
  ibrav = 0, nat = 12, ntyp = 4
/
ATOMIC_SPECIES
Cl 35.45 Cl.upf
Ba 137.33 Ba.upf
Cu 63.55 Cu.upf
Co 58.93 Co.upf
CELL_PARAMETERS angstrom
-5.872 -1.406 -1.867
1.536 -0.338 6.121
-2.317 8.299 1.039
ATOMIC_POSITIONS crystal
Cl 0.007 0.311 0.677
Ba 0.000 0.000 0.000
Cl 0.689 0.697 0.677
Cl 0.303 0.993 0.677
Cl 0.311 0.303 0.323
Cl 0.667 0.333 0.005
Cu 0.000 0.000 0.500
Co 0.667 0.333 0.263
Cl 0.333 0.667 0.995
Co 0.333 0.667 0.737
Cl 0.993 0.689 0.323
Cl 0.697 0.007 0.323
```